Computed, not measured: a relaxed structure of Cd2IrBr at the PBE level of DFT.

Calculated values
Magnetic moment = 0.00 μB/atom
Energy relative to the lowest polymorph listed for this composition = 0.483 eV per atom
Energy relative to the elements, uncorrected = 0.502 eV/atom

abc: 5.412 5.412 5.412
angles: 134.83 134.83 65.79
Positions (direct):
Cd 0.250 0.750 0.500
Cd 0.750 0.250 0.500
Ir 0.000 0.000 0.000
Br 0.500 0.500 0.000